NdHo2Ir | PBE-GGA | optimized geometry

Cell lengths 7.2871, 9.3557, 6.4582 Å; angles 90.00, 90.00, 90.00 degrees
With the nearest neighbours (Å) after each atom.
Atoms (fractional coordinates):
Nd: 0.0338 0.2500 0.1335  2 Ir 2.85-3.00
Nd: 0.4662 0.7500 0.6335  2 Ir 2.85-3.00
Nd: 0.5338 0.2500 0.3665  2 Ir 2.85-3.00
Nd: 0.9662 0.7500 0.8665  2 Ir 2.85-3.00
Ho: 0.1751 0.0647 0.6690  2 Ir 2.83-2.87
Ho: 0.1751 0.4353 0.6690  2 Ir 2.83-2.87
Ho: 0.3249 0.5647 0.1690  2 Ir 2.83-2.87
Ho: 0.3249 0.9353 0.1690  2 Ir 2.83-2.87
Ho: 0.6751 0.0647 0.8310  2 Ir 2.83-2.87
Ho: 0.6751 0.4353 0.8310  2 Ir 2.83-2.87
Ho: 0.8249 0.5647 0.3310  2 Ir 2.83-2.87
Ho: 0.8249 0.9353 0.3310  2 Ir 2.83-2.87
Ir: 0.1177 0.7500 0.4344  4 Ho 2.83-2.87, 2 Nd 2.85-3.00
Ir: 0.3823 0.2500 0.9344  4 Ho 2.83-2.87, 2 Nd 2.85-3.00
Ir: 0.6177 0.7500 0.0656  4 Ho 2.83-2.87, 2 Nd 2.85-3.00
Ir: 0.8823 0.2500 0.5656  4 Ho 2.83-2.87, 2 Nd 2.85-3.00

Calculated values
E_form: -0.548 eV per atom
Density: 10.1 g cm⁻³
Uncorrected energy: -6.244 eV per atom
Space-group type: Pnma, No. 62
Distance to the lowest polymorph of the same formula: 0.000 eV per atom

***

Nd3HoIr | PBE-GGA | optimized geometry

Cell lengths 5.6049, 5.6049, 5.6049 Å; angles 90.00, 90.00, 90.00 degrees
With the nearest neighbours (Å) after each atom.
Atoms (fractional coordinates):
Nd: 0.0000 0.0000 0.5000  2 Ir 2.80
Nd: 0.0000 0.5000 0.0000  2 Ir 2.80
Nd: 0.5000 0.0000 0.0000  2 Ir 2.80
Ho: 0.5000 0.5000 0.5000  12 Nd 3.96
Ir: 0.0000 0.0000 0.0000  6 Nd 2.80

Calculated values
E_form: -0.110 eV per atom
Density: 7.4 g cm⁻³
Uncorrected energy: -5.659 eV per atom
Space-group type: Pm-3m, No. 221

***

Nd2Ho2Ir3 | PBE-GGA | optimized geometry

Cell lengths 8.6513, 8.6513, 8.6513 Å; angles 32.45, 32.45, 32.45 degrees
With the nearest neighbours (Å) after each atom.
Atoms (fractional coordinates):
Nd: 0.1237 0.1237 0.1237  5 Ir 2.99-3.18
Nd: 0.8763 0.8763 0.8763  5 Ir 2.99-3.18
Ho: 0.3734 0.3734 0.3734  7 Ir 2.95-2.96
Ho: 0.6266 0.6266 0.6266  7 Ir 2.95-2.96
Ir: 0.0000 0.0000 0.0000  6 Ho 2.96, 2 Nd 3.04
Ir: 0.2532 0.2532 0.2532  4 Ho 2.95-2.96, 4 Nd 2.99-3.18
Ir: 0.7468 0.7468 0.7468  4 Ho 2.95-2.96, 4 Nd 2.99-3.18

Calculated values
E_form: -0.738 eV per atom
Density: 12.0 g cm⁻³
Uncorrected energy: -7.205 eV per atom
Space-group type: R-3m, No. 166
Distance to the lowest polymorph of the same formula: 0.000 eV per atom

***

NdHo2Ir | PBE-GGA | optimized geometry

Cell lengths 3.7935, 3.7935, 31.5440 Å; angles 90.00, 90.00, 120.00 degrees
With the nearest neighbours (Å) after each atom.
Atoms (fractional coordinates):
Nd: 0.0000 0.0000 0.0000  2 Ho 3.64, 6 Nd 3.79
Nd: 0.3333 0.6667 0.6667  2 Ho 3.64, 6 Nd 3.79
Nd: 0.6667 0.3333 0.3333  2 Ho 3.64, 6 Nd 3.79
Ho: 0.0000 0.0000 0.1155  3 Ir 2.72
Ho: 0.0000 0.0000 0.8845  3 Ir 2.72
Ho: 0.3333 0.6667 0.5512  3 Ir 2.72
Ho: 0.3333 0.6667 0.7821  3 Ir 2.72
Ho: 0.6667 0.3333 0.2179  3 Ir 2.72
Ho: 0.6667 0.3333 0.4488  3 Ir 2.72
Ir: 0.0000 0.0000 0.5000  6 Ho 2.72
Ir: 0.3333 0.6667 0.1667  6 Ho 2.72
Ir: 0.6667 0.3333 0.8333  6 Ho 2.72

Calculated values
E_form: -0.191 eV per atom
Density: 8.4 g cm⁻³
Uncorrected energy: -5.887 eV per atom
Space-group type: R-3m, No. 166
Distance to the lowest polymorph of the same formula: 0.357 eV per atom

***

Nd3HoIr8 | PBE-GGA | optimized geometry

Cell lengths 9.3811, 9.3811, 9.3811 Å; angles 33.58, 33.58, 33.58 degrees
With the nearest neighbours (Å) after each atom.
Atoms (fractional coordinates):
Nd: 0.0000 0.0000 0.0000  12 Ir 3.15-3.18, 3 Ho 3.31, 1 Nd 3.32
Nd: 0.1251 0.1251 0.1251  12 Ir 3.18-3.20, 4 Nd 3.32
Nd: 0.5007 0.5007 0.5007  12 Ir 3.18-3.21, 1 Ho 3.31, 3 Nd 3.32
Ho: 0.6255 0.6255 0.6255  12 Ir 3.15-3.18, 4 Nd 3.31
Ir: 0.0608 0.5624 0.5624  6 Ir 2.70-2.72
Ir: 0.0633 0.0633 0.5643  6 Ir 2.69-2.73
Ir: 0.0633 0.5643 0.0633  6 Ir 2.69-2.73
Ir: 0.3126 0.3126 0.3126  6 Ir 2.69-2.70
Ir: 0.5624 0.0608 0.5624  6 Ir 2.70-2.72
Ir: 0.5624 0.5624 0.0608  6 Ir 2.70-2.72
Ir: 0.5643 0.0633 0.0633  6 Ir 2.69-2.73
Ir: 0.8128 0.8128 0.8128  6 Ir 2.72-2.73

Calculated values
E_form: -0.722 eV per atom
Density: 15.8 g cm⁻³
Uncorrected energy: -8.203 eV per atom
Space-group type: R3m, No. 160

***

NdHoIr | PBE-GGA | optimized geometry

Cell lengths 6.8952, 6.8952, 6.8952 Å; angles 90.00, 90.00, 90.00 degrees
With the nearest neighbours (Å) after each atom.
Atoms (fractional coordinates):
Nd: 0.0000 0.0000 0.0000  4 Ir 2.99
Nd: 0.0000 0.5000 0.5000  4 Ir 2.99
Nd: 0.5000 0.0000 0.5000  4 Ir 2.99
Nd: 0.5000 0.5000 0.0000  4 Ir 2.99
Ho: 0.0000 0.0000 0.5000  4 Ir 2.99
Ho: 0.0000 0.5000 0.0000  4 Ir 2.99
Ho: 0.5000 0.0000 0.0000  4 Ir 2.99
Ho: 0.5000 0.5000 0.5000  4 Ir 2.99
Ir: 0.2500 0.2500 0.2500  4 Ho 2.99, 4 Nd 2.99
Ir: 0.2500 0.7500 0.7500  4 Ho 2.99, 4 Nd 2.99
Ir: 0.7500 0.2500 0.7500  4 Ho 2.99, 4 Nd 2.99
Ir: 0.7500 0.7500 0.2500  4 Ho 2.99, 4 Nd 2.99

Calculated values
E_form: -0.604 eV per atom
Density: 10.2 g cm⁻³
Uncorrected energy: -6.672 eV per atom
Space-group type: F-43m, No. 216
Distance to the lowest polymorph of the same formula: 0.027 eV per atom

***

NdHo2Ir | PBE-GGA | optimized geometry

Cell lengths 3.4794, 3.4794, 8.8994 Å; angles 90.00, 90.00, 90.00 degrees
With the nearest neighbours (Å) after each atom.
Atoms (fractional coordinates):
Nd: 0.0000 0.0000 0.0000  4 Nd 3.48, 8 Ho 3.75
Ho: 0.5000 0.5000 0.3179  4 Ir 2.95, 1 Ho 3.24
Ho: 0.5000 0.5000 0.6821  4 Ir 2.95, 1 Ho 3.24
Ir: 0.0000 0.0000 0.5000  8 Ho 2.95

Calculated values
E_form: -0.438 eV per atom
Density: 10.3 g cm⁻³
Uncorrected energy: -6.134 eV per atom
Space-group type: P4/mmm, No. 123
Distance to the lowest polymorph of the same formula: 0.109 eV per atom

***

NdHoIr | PBE-GGA | optimized geometry

Cell lengths 4.1637, 4.1637, 6.2394 Å; angles 90.00, 90.00, 120.00 degrees
With the nearest neighbours (Å) after each atom.
Atoms (fractional coordinates):
Nd: 0.0000 0.0000 0.0000  3 Ir 2.84
Ho: 0.6667 0.3333 0.4585  3 Ir 2.76
Ir: 0.3333 0.6667 0.2424  3 Ho 2.76, 3 Nd 2.84

Calculated values
E_form: -0.515 eV per atom
Density: 8.9 g cm⁻³
Uncorrected energy: -6.584 eV per atom
Space-group type: P3m1, No. 156
Distance to the lowest polymorph of the same formula: 0.116 eV per atom

***

NdHoIr | PBE-GGA | optimized geometry

Cell lengths 4.6075, 5.1791, 7.3779 Å; angles 109.38, 90.06, 90.00 degrees
With the nearest neighbours (Å) after each atom.
Atoms (fractional coordinates):
Nd: 0.2500 0.2172 0.4259  3 Ir 2.91-2.93
Nd: 0.7500 0.7828 0.5741  3 Ir 2.91-2.93
Ho: 0.2500 0.2453 0.9629  4 Ir 2.80-2.95
Ho: 0.7500 0.7547 0.0371  4 Ir 2.80-2.95
Ir: 0.2500 0.6761 0.7836  4 Ho 2.80-2.95, 3 Nd 2.91-2.93
Ir: 0.7500 0.3239 0.2164  4 Ho 2.80-2.95, 3 Nd 2.91-2.93

Calculated values
E_form: -0.630 eV per atom
Density: 10.0 g cm⁻³
Uncorrected energy: -6.699 eV per atom
Space-group type: P-1, No. 2
Distance to the lowest polymorph of the same formula: 0.000 eV per atom

***

NdHo2Ir | PBE-GGA | optimized geometry

Cell lengths 3.8675, 12.2969, 9.1990 Å; angles 90.00, 90.00, 90.00 degrees
With the nearest neighbours (Å) after each atom.
Atoms (fractional coordinates):
Nd: 0.0000 0.0710 0.2500  2 Ir 2.97
Nd: 0.0000 0.9290 0.7500  2 Ir 2.97
Nd: 0.5000 0.4290 0.7500  2 Ir 2.97
Nd: 0.5000 0.5710 0.2500  2 Ir 2.97
Ho: 0.0000 0.3566 0.0669  2 Ir 2.86
Ho: 0.0000 0.3566 0.4331  2 Ir 2.86
Ho: 0.0000 0.6434 0.5669  2 Ir 2.86
Ho: 0.0000 0.6434 0.9331  2 Ir 2.86
Ho: 0.5000 0.1434 0.5669  2 Ir 2.86
Ho: 0.5000 0.1434 0.9331  2 Ir 2.86
Ho: 0.5000 0.8566 0.0669  2 Ir 2.86
Ho: 0.5000 0.8566 0.4331  2 Ir 2.86
Ir: 0.0000 0.2458 0.7500  4 Ho 2.86, 2 Nd 2.97
Ir: 0.0000 0.7542 0.2500  4 Ho 2.86, 2 Nd 2.97
Ir: 0.5000 0.2542 0.2500  4 Ho 2.86, 2 Nd 2.97
Ir: 0.5000 0.7458 0.7500  4 Ho 2.86, 2 Nd 2.97

Calculated values
E_form: -0.515 eV per atom
Density: 10.1 g cm⁻³
Uncorrected energy: -6.211 eV per atom
Space-group type: Cmcm, No. 63
Distance to the lowest polymorph of the same formula: 0.032 eV per atom

***

NdHo3Ir4 | PBE-GGA | optimized geometry

Cell lengths 4.9576, 4.9576, 6.6611 Å; angles 90.00, 90.00, 90.00 degrees
With the nearest neighbours (Å) after each atom.
Atoms (fractional coordinates):
Nd: 0.0000 0.0000 0.0000  8 Ir 3.01, 2 Ho 3.33
Ho: 0.0000 0.0000 0.5000  8 Ir 2.96
Ho: 0.5000 0.5000 0.0000  8 Ir 3.01, 2 Ho 3.33
Ho: 0.5000 0.5000 0.5000  8 Ir 2.96
Ir: 0.0000 0.5000 0.2565  6 Ho 2.96-3.01, 2 Nd 3.01, 1 Ir 3.24
Ir: 0.0000 0.5000 0.7435  6 Ho 2.96-3.01, 2 Nd 3.01, 1 Ir 3.24
Ir: 0.5000 0.0000 0.2565  6 Ho 2.96-3.01, 2 Nd 3.01, 1 Ir 3.24
Ir: 0.5000 0.0000 0.7435  6 Ho 2.96-3.01, 2 Nd 3.01, 1 Ir 3.24

Calculated values
E_form: -0.754 eV per atom
Density: 14.3 g cm⁻³
Uncorrected energy: -7.497 eV per atom
Space-group type: P4/mmm, No. 123

***

NdHoIr | PBE-GGA | optimized geometry

Cell lengths 3.5170, 3.5170, 12.9907 Å; angles 90.00, 90.00, 90.00 degrees
With the nearest neighbours (Å) after each atom.
Atoms (fractional coordinates):
Nd: 0.0000 0.0000 0.0000  4 Ir 3.05, 1 Ho 3.29
Nd: 0.5000 0.5000 0.5000  4 Ir 3.05, 1 Ho 3.29
Ho: 0.0000 0.0000 0.2533  4 Ir 2.92
Ho: 0.5000 0.5000 0.7533  4 Ir 2.92
Ir: 0.0000 0.0000 0.6353  4 Ho 2.92, 4 Nd 3.05
Ir: 0.5000 0.5000 0.1353  4 Ho 2.92, 4 Nd 3.05

Calculated values
E_form: -0.493 eV per atom
Density: 10.4 g cm⁻³
Uncorrected energy: -6.562 eV per atom
Space-group type: I4mm, No. 107
Distance to the lowest polymorph of the same formula: 0.137 eV per atom

***

> What is the E_form in the sixth record?

-0.604 eV per atom